A plane-wave DFT calculation with PBE was carried out for a geometry-optimized MnBIr2 structure.

calculated total energy	-7.901	eV per atom
total magnetic moment	2.06	μB per formula unit

Geometry as POSCAR:
```
MnBIr2
1.0
5.1086 0.0000 0.0000
0.0000 5.1086 0.0000
2.5543 2.5543 4.8670
B Ir Mn
2 4 2
Cartesian
2.5543 2.5543 0.0000
2.5543 5.1086 2.4335
3.5715 1.2772 1.2167
1.5371 3.8315 1.2167
3.8315 4.0914 3.6502
6.3858 6.1258 3.6502
0.0000 0.0000 0.0000
5.1086 2.5543 2.4335
```



A plane-wave DFT calculation with PBE was carried out for a geometry-optimized MnBIr2 structure.

calculated total energy	-8.202	eV per atom
total magnetic moment	3.94	μB per formula unit

Geometry as POSCAR:
```
MnBIr2
1.0
2.9795 0.0000 0.0000
0.0000 4.0561 0.0000
0.0000 0.0000 4.0561
B Ir Mn
1 2 1
Cartesian
1.4897 2.0280 2.0280
0.0000 0.0000 2.0280
0.0000 2.0280 0.0000
1.4897 0.0000 0.0000
```



A plane-wave DFT calculation with PBE was carried out for a geometry-optimized Mn2BIr structure.

calculated total energy	-8.031	eV per atom
total magnetic moment	0.00	μB per formula unit

Geometry as POSCAR:
```
Mn2BIr
1.0
3.3196 0.0000 0.0000
0.0000 3.3196 0.0000
1.6598 1.6598 8.2897
B Ir Mn
2 2 4
Cartesian
1.6598 1.6598 0.0000
1.6598 3.3196 4.1448
0.0000 0.0000 0.0000
3.3196 1.6598 4.1448
2.2804 0.8299 2.0724
1.0392 2.4897 2.0724
2.4897 2.6990 6.2173
4.1495 3.9402 6.2173
```



A plane-wave DFT calculation with PBE was carried out for a geometry-optimized MnBIr2 structure.

calculated total energy	-8.406	eV per atom
total magnetic moment	4.06	μB per formula unit

Geometry as POSCAR:
```
MnBIr2
1.0
2.8123 0.0000 0.0000
1.4062 2.4355 0.0000
1.4062 0.8118 7.4136
Mn B Ir
1 1 2
Cartesian
2.8123 1.6237 3.6995
2.8123 1.6237 0.0069
1.4062 0.8118 5.9242
1.4062 0.8118 1.4898
```



A plane-wave DFT calculation with PBE was carried out for a geometry-optimized Mn2B2Ir structure.

calculated total energy	-8.413	eV per atom
total magnetic moment	5.03	μB per formula unit

Geometry as POSCAR:
```
Mn2B2Ir
1.0
-2.2741 1.9010 -4.6779
-1.5917 -5.1388 -1.3146
-2.8411 0.4771 1.5751
B Ir Mn
4 2 4
Cartesian
-2.2784 -3.8111 -2.9555
-2.9904 -1.4884 -4.9434
-1.5874 0.5734 -3.0370
-0.8753 -1.7493 -1.0491
0.0000 0.0000 0.0000
-1.9329 -1.6189 -2.9962
-2.8680 -2.8766 -0.8798
-4.2643 -2.7631 -3.4329
-3.8389 0.1159 -3.5376
-2.4426 0.0025 -0.9845
```



A plane-wave DFT calculation with PBE was carried out for a geometry-optimized Mn2BIr structure.

calculated total energy	-8.609	eV per atom
total magnetic moment	0.45	μB per formula unit

Geometry as POSCAR:
```
Mn2BIr
1.0
2.6036 0.0000 0.0000
0.0000 2.6036 0.0000
0.0000 0.0000 6.1244
B Ir Mn
1 1 2
Cartesian
1.3018 1.3018 0.0000
1.3018 1.3018 3.0622
0.0000 0.0000 4.9344
0.0000 0.0000 1.1900
```



A plane-wave DFT calculation with PBE was carried out for a geometry-optimized MnBIr3 structure.

calculated total energy	-8.517	eV per atom
total magnetic moment	0.00	μB per formula unit

Geometry as POSCAR:
```
MnBIr3
1.0
-2.7083 -2.3379 0.5633
4.9677 -5.5244 0.9560
0.3052 1.8750 9.2490
Mn B Ir
4 4 12
Cartesian
2.4640 -6.7282 1.3881
2.4385 -2.9178 5.4361
0.1261 -3.0695 5.3323
0.1006 0.7409 9.3802
-0.2978 0.4329 6.1866
2.2471 -1.9539 8.5162
0.3175 -4.0334 2.2521
2.8624 -6.4203 4.5817
2.3962 -3.8628 1.3107
0.1683 -2.1245 9.4576
0.0266 -0.3991 4.2929
2.5380 -5.5882 6.4754
1.1756 -1.1345 6.7655
-1.1364 -2.3454 2.2677
3.7009 -3.6419 8.5006
1.1071 -3.6783 7.5220
1.4575 -2.3090 3.2463
-1.3504 -0.7541 7.8434
1.3889 -4.8528 4.0028
3.9149 -5.2332 2.9250
```



A plane-wave DFT calculation with PBE was carried out for a geometry-optimized Mn2BIr4 structure.

calculated total energy	-8.267	eV per atom
total magnetic moment	7.14	μB per formula unit

Geometry as POSCAR:
```
Mn2BIr4
1.0
-3.1809 2.3543 0.8143
-1.6842 -3.0055 2.1106
0.4930 1.7817 6.7977
B Ir Mn
1 4 2
Cartesian
0.0000 0.0000 0.0000
-3.9211 0.0288 4.6464
-0.4510 1.1017 5.0762
-0.8421 -1.5027 1.0553
-1.5905 1.1772 0.4072
-2.8030 0.8342 6.6855
-1.5691 0.2964 3.0371
```



A plane-wave DFT calculation with PBE was carried out for a geometry-optimized Mn3BIr structure.

calculated total energy	-6.865	eV per atom
offset from the most stable computed form	1641	meV/atom
total magnetic moment	13.08	μB per formula unit

Geometry as POSCAR:
```
Mn3BIr
1.0
-4.0495 1.3838 -2.1793
-1.4567 -4.5718 -0.1962
-2.1312 0.4956 4.2749
B Ir Mn
1 1 3
Cartesian
-3.8187 -1.3462 0.9497
0.0000 0.0000 0.0000
-0.7284 -2.2859 -0.0981
-1.0656 0.2478 2.1374
-2.0247 0.6919 -1.0896
```



A plane-wave DFT calculation with PBE was carried out for a geometry-optimized MnB2Ir structure.

calculated total energy	-7.415	eV per atom
offset from the most stable computed form	362	meV/atom
total magnetic moment	2.00	μB per formula unit

Geometry as POSCAR:
```
MnB2Ir
1.0
-3.6722 -1.4928 2.3053
-1.2841 -2.4693 -3.6444
0.0840 -5.7423 0.9762
B Ir Mn
4 2 2
Cartesian
-2.4522 -2.6844 1.2404
-1.2230 -3.1583 -1.7566
-1.7895 -5.7807 0.2474
-4.2799 -7.7854 -0.4570
0.0000 0.0000 0.0000
-3.0332 -4.6081 1.3060
-2.4782 -1.9810 -0.6696
-1.8391 -5.0963 -1.6689
```



A plane-wave DFT calculation with PBE was carried out for a geometry-optimized MnB2Ir structure.

calculated total energy	-7.776	eV per atom
offset from the most stable computed form	0	meV/atom
total magnetic moment	0.00	μB per formula unit

Geometry as POSCAR:
```
MnB2Ir
1.0
3.5153 -1.0366 0.6867
1.7799 1.3171 3.0001
0.7500 -2.2640 2.8662
B Ir Mn
2 1 1
Cartesian
1.5113 -0.4959 1.6382
4.5339 -1.4877 4.9147
3.0226 -0.9918 3.2765
0.0000 0.0000 0.0000
```



A plane-wave DFT calculation with PBE was carried out for a geometry-optimized MnBIr2 structure.

calculated total energy	-8.197	eV per atom
total magnetic moment	4.06	μB per formula unit

Geometry as POSCAR:
```
MnBIr2
1.0
-1.8830 -0.7612 1.9213
0.2563 -2.4551 1.3127
3.8738 2.4490 6.8009
B Ir Mn
1 2 1
Cartesian
1.1236 -0.3836 5.0175
2.4669 1.3272 4.9776
-0.2198 -2.0945 5.0573
0.0000 0.0000 0.0000
```



A plane-wave DFT calculation with PBE was carried out for a geometry-optimized Mn3BIr structure.

calculated total energy	-8.506	eV per atom
offset from the most stable computed form	0	meV/atom
total magnetic moment	0.00	μB per formula unit

Geometry as POSCAR:
```
Mn3BIr
1.0
-3.3972 -1.4659 -0.8681
0.7423 -3.0167 2.1891
-1.5335 1.7873 2.9829
B Ir Mn
1 1 3
Cartesian
0.0000 0.0000 0.0000
-2.0942 -1.3477 2.1520
0.3711 -1.5083 1.0946
-0.7667 0.8936 1.4915
-1.6986 -0.7330 -0.4341
```



A plane-wave DFT calculation with PBE was carried out for a geometry-optimized Mn2BMoIr structure.

calculated total energy	-7.332	eV per atom
offset from the most stable computed form	0	meV/atom
total magnetic moment	5.47	μB per formula unit

Geometry as POSCAR:
```
Mn2BMoIr
1.0
-2.3859 -0.8314 3.7263
-0.2805 -3.8959 -1.0489
3.8051 -0.8773 2.2407
Mo Ir B Mn
1 1 1 2
Cartesian
0.0000 0.0000 0.0000
0.5693 -2.8023 2.4590
-0.1403 -1.9479 -0.5244
1.9026 -0.4386 1.1203
-1.1930 -0.4157 1.8632
```



A plane-wave DFT calculation with PBE was carried out for a geometry-optimized Mn2BMoIr structure.

calculated total energy	-6.784	eV per atom
offset from the most stable computed form	548	meV/atom
total magnetic moment	5.87	μB per formula unit

Geometry as POSCAR:
```
Mn2BMoIr
1.0
-0.3468 2.1450 4.0927
-1.1497 -4.0524 2.0264
4.4779 -0.8563 0.8283
Mo Ir B Mn
1 1 1 2
Cartesian
0.0000 0.0000 0.0000
-0.5749 -2.0262 1.0132
1.4907 -1.3819 3.4737
2.2390 -0.4281 0.4141
-0.1734 1.0725 2.0463
```



A plane-wave DFT calculation with PBE was carried out for a geometry-optimized NaMnB2Ir structure.

calculated total energy	-3.542	eV per atom
total magnetic moment	0.35	μB per formula unit

Geometry as POSCAR:
```
NaMnB2Ir
1.0
-1.4150 -2.4039 2.9737
1.9702 -3.5727 -1.9507
3.3862 0.6852 2.1652
Na B Ir Mn
1 2 1 1
Cartesian
0.0000 0.0000 0.0000
1.6931 0.3426 1.0826
-0.7075 -1.2020 1.4868
0.9851 -1.7864 -0.9753
1.9707 -2.6457 1.5941
```